# TaFeAs2O, relaxed, DFT PBE+U
data_TaFeAs2O
_chemical_formula_sum 'Ta1 Fe1 As2 O1'
_cell_length_a 5.1210
_cell_length_b 3.8393
_cell_length_c 5.1210
_cell_angle_alpha 90.00
_cell_angle_beta 90.00
_cell_angle_gamma 90.00
_symmetry_space_group_name_H-M 'P 1'
_symmetry_Int_Tables_number 1
loop_
_symmetry_equiv_pos_as_xyz
'x,y,z'
loop_
_atom_site_label
_atom_site_type_symbol
_atom_site_fract_x
_atom_site_fract_y
_atom_site_fract_z
_atom_site_occupancy
Fe1 Fe 0.5000 0.5000 0.5000 1
Ta1 Ta 0.0000 0.0000 0.0000 1
As1 As 0.5000 0.0000 0.0000 1
As2 As 0.0000 0.0000 0.5000 1
O1 O 0.0000 0.5000 0.0000 1
# Symmetry = No. 123
# Magnetic moment = 4.037 μB per formula unit
# Calculated density = 6.64 Mg/m³
# Uncorrected energy = -6.4877 eV per atom